Entry from Alexandria via LeMat-Bulk: a geometry-optimized Pm2HoAl structure (PBE-GGA).

Cell: 10.808 10.808 10.808 Å, 19.45 19.45 19.45°
Fractional positions:
Pm  0.000  0.000  0.000
Pm  0.187  0.187  0.187
Ho  0.760  0.760  0.760
Al  0.594  0.594  0.594

Computed properties:
Its formation enthalpy at 0 K is -29 meV/atom. For the magnetic moment, the calculation gives 0.65 μB per formula unit. Its total energy is -4.4840 eV/atom. The excess energy over the best structure of this formula in the dataset is 0.156 eV/atom.